Li4CoB2O6 PBE with a Hubbard U relaxed; final energy = -6.370 eV/atom; SG = Pnnm
1.0
3.2385 0.0000 0.0000
0.0000 7.9878 0.0000
0.0000 0.0000 9.4670
Li O B Co
8 12 4 2
direct
0.5000 0.1625 0.0615
0.5000 0.4959 0.2879
0.5000 0.5041 0.7121
0.0000 0.0041 0.7879
0.0000 0.6625 0.4385
0.0000 0.9959 0.2121
0.0000 0.3375 0.5615
0.5000 0.8375 0.9385
0.5000 0.7405 0.3398
0.0000 0.5869 0.6321
0.5000 0.6129 0.1071
0.0000 0.2405 0.1602
0.5000 0.3871 0.8929
0.0000 0.1129 0.3929
0.0000 0.8871 0.6071
0.0000 0.4131 0.3679
0.5000 0.9131 0.1321
0.0000 0.7595 0.8398
0.5000 0.0869 0.8679
0.5000 0.2595 0.6602
0.0000 0.7409 0.6944
0.0000 0.2591 0.3056
0.5000 0.2409 0.8056
0.5000 0.7591 0.1944
0.0000 0.5000 0.0000
0.5000 0.0000 0.5000